Density functional theory data (GGA-PBE) for a geometry-optimized YCoSe2 structure.

Results
magnetization: 2.00 Bohr magnetons per cell
formation energy (no corrections): -663 meV per atom
density: 6.46 g cm⁻³

Lattice parameters (Å, degrees): 4.807 4.807 4.807 60.00 60.00 60.00
Each line ends with the local moment (μB).
Atoms (fractional coordinates):
Se 0.750 0.750 0.750  0.11
Se 0.250 0.250 0.250  0.11
Co 0.000 0.000 0.000  1.78
Y 0.500 0.500 0.500  -0.01


Density functional theory data (GGA-PBE) for a geometry-optimized MgGa2Tc structure.

Results
energy of formation: -0.1 eV per formula unit
magnetization: 0.00 Bohr magnetons per cell
density: 6.95 g cm⁻³

Lattice parameters (Å, degrees): 3.425 4.272 4.272 90.00 90.00 90.00
Atoms (fractional coordinates):
Mg 0.500 0.000 0.000
Tc 0.500 0.500 0.500
Ga 0.000 0.500 0.000
Ga 0.000 0.000 0.500


Density functional theory data (GGA-PBE) for a geometry-optimized LaZnSn2 structure.

Results
energy of formation: 0.4 eV per formula unit
magnetization: 0.00 Bohr magnetons per cell
density: 6.57 g cm⁻³

Lattice parameters (Å, degrees): 3.457 3.457 10.977 80.94 80.94 60.00
Atoms (fractional coordinates):
La 0.000 0.000 0.000
Sn 0.899 0.899 0.303
Zn 0.500 0.500 0.500
Sn 0.101 0.101 0.697


Density functional theory data (GGA-PBE) for a geometry-optimized HoMg4Tl structure.

Results
energy of formation: 0.1 eV per formula unit
magnetization: 0.00 Bohr magnetons per cell
density: 5.06 g cm⁻³

Lattice parameters (Å, degrees): 6.004 6.004 6.004 60.00 60.00 60.00
Atoms (fractional coordinates):
Mg 0.625 0.625 0.125
Ho 0.250 0.250 0.250
Tl 0.000 0.000 0.000
Mg 0.625 0.625 0.625
Mg 0.625 0.125 0.625
Mg 0.125 0.625 0.625


Density functional theory data (GGA-PBE) for a geometry-optimized LaCdN2O structure.

Results
magnetization: 0.44 Bohr magnetons per cell
formation energy (no corrections): 53 meV per atom
density: 6.70 g cm⁻³

Lattice parameters (Å, degrees): 4.158 4.158 4.234 90.00 90.00 90.00
Each line ends with the local moment (μB).
Atoms (fractional coordinates):
O 0.000 0.000 0.500  0.05
La 0.500 0.500 0.500  0.00
N 0.500 0.000 0.000  0.14
N 0.000 0.500 0.000  0.14
Cd 0.000 0.000 0.000  0.01


Density functional theory data (GGA-PBE) for a geometry-optimized Ce3Si2Tc2 structure.

Results
magnetization: 0.00 Bohr magnetons per cell
formation energy (no corrections): -532 meV per atom
density: 7.61 g cm⁻³

Lattice parameters (Å, degrees): 5.586 7.883 13.329 90.00 90.00 90.00
Atoms (fractional coordinates):
Si 0.386 0.250 0.000
Tc 0.345 0.969 0.410
Ce 0.159 0.591 0.096
Si 0.126 0.883 0.250
Tc 0.345 0.531 0.910
Tc 0.345 0.969 0.090
Si 0.614 0.750 0.500
Tc 0.345 0.531 0.590
Ce 0.841 0.091 0.096
Ce 0.841 0.409 0.596
Tc 0.655 0.031 0.590
Ce 0.159 0.909 0.904
Si 0.386 0.250 0.500
Ce 0.159 0.909 0.596
Ce 0.619 0.729 0.250
Tc 0.655 0.469 0.090
Si 0.614 0.750 0.000
Tc 0.655 0.469 0.410
Si 0.874 0.383 0.250
Ce 0.159 0.591 0.404
Ce 0.619 0.771 0.750
Si 0.874 0.117 0.750
Ce 0.841 0.091 0.404
Si 0.126 0.617 0.750
Ce 0.841 0.409 0.904
Ce 0.381 0.271 0.750
Ce 0.381 0.229 0.250
Tc 0.655 0.031 0.910


Density functional theory data (GGA-PBE) for a geometry-optimized MgMo2 structure.

Results
energy of formation: 2.3 eV per formula unit
magnetization: 0.00 Bohr magnetons per cell
density: 7.02 g cm⁻³

Lattice parameters (Å, degrees): 5.151 5.151 5.151 104.28 104.28 120.45
Atoms (fractional coordinates):
Mo 0.867 0.633 0.500
Mg 0.750 0.750 0.000
Mo 0.633 0.133 0.767
Mg 0.250 0.250 0.000
Mo 0.367 0.867 0.233
Mo 0.133 0.367 0.500


Density functional theory data (GGA-PBE) for a geometry-optimized CrNi2SnN structure.

Results
magnetization: 0.87 Bohr magnetons per cell
formation energy (no corrections): -95 meV per atom
density: 8.39 g cm⁻³

Lattice parameters (Å, degrees): 3.938 3.938 3.857 90.00 90.00 90.00
Each line ends with the local moment (μB).
Atoms (fractional coordinates):
Ni 0.000 0.500 0.000  -0.05
Cr 0.000 0.000 0.500  1.06
Ni 0.500 0.000 0.000  -0.05
N 0.000 0.000 0.000  -0.05
Sn 0.500 0.500 0.500  -0.06


Density functional theory data (GGA-PBE) for a geometry-optimized TbPr2Ti structure.

Results
energy of formation: 1.9 eV per formula unit
magnetization: 1.48 Bohr magnetons per cell
density: 6.65 g cm⁻³

Lattice parameters (Å, degrees): 3.420 3.420 12.201 81.94 81.94 60.00
Each line ends with the local moment (μB).
Atoms (fractional coordinates):
Ti 0.000 0.000 0.000  1.14
Pr 0.082 0.082 0.753  0.01
Pr 0.918 0.918 0.247  0.01
Tb 0.500 0.500 0.500  -0.03


Density functional theory data (GGA-PBE) for a geometry-optimized Na5NdTl6 structure.

Results
energy of formation: -1.8 eV per formula unit
magnetization: 0.00 Bohr magnetons per cell
density: 7.33 g cm⁻³

Lattice parameters (Å, degrees): 5.263 8.037 8.380 90.00 71.70 90.00
Atoms (fractional coordinates):
Tl 0.500 0.741 0.000
Nd 0.000 0.000 0.000
Tl 0.831 0.756 0.338
Tl 0.169 0.244 0.662
Na 0.667 0.000 0.666
Na 0.000 0.500 0.000
Na 0.670 0.500 0.660
Tl 0.500 0.259 0.000
Na 0.333 0.000 0.334
Na 0.330 0.500 0.340
Tl 0.169 0.756 0.662
Tl 0.831 0.244 0.338


Density functional theory data (GGA-PBE) for a geometry-optimized SrCuRe2Ni structure.

Results
energy of formation: 9.5 eV per formula unit
magnetization: 1.09 Bohr magnetons per cell
density: 8.94 g cm⁻³

Lattice parameters (Å, degrees): 4.534 5.257 4.534 90.00 90.00 90.00
Each line ends with the local moment (μB).
Atoms (fractional coordinates):
Cu 0.000 0.000 0.000  0.04
Re 0.000 0.000 0.500  0.33
Re 0.500 0.000 0.000  0.22
Sr 0.000 0.500 0.000  -0.01
Ni 0.500 0.500 0.500  0.49


Density functional theory data (GGA-PBE) for a geometry-optimized NbGaNi14 structure.

Results
energy of formation: -1.8 eV per formula unit
magnetization: 4.87 Bohr magnetons per cell
density: 8.93 g cm⁻³

Lattice parameters (Å, degrees): 5.073 5.073 7.114 90.00 90.00 90.00
Each line ends with the local moment (μB).
Atoms (fractional coordinates):
Ni 0.875 0.875 0.000  0.72
Ni 0.875 0.375 0.000  0.51
Ni 0.127 0.623 0.757  0.34
Ni 0.127 0.127 0.243  0.34
Ga 0.375 0.375 0.500  -0.02
Ni 0.375 0.875 0.500  0.15
Ni 0.127 0.623 0.243  0.34
Ni 0.127 0.127 0.757  0.34
Ni 0.375 0.875 0.000  0.51
Ni 0.623 0.623 0.757  0.34
Ni 0.623 0.623 0.243  0.34
Ni 0.623 0.127 0.243  0.34
Nb 0.875 0.875 0.500  -0.14
Ni 0.375 0.375 0.000  0.53
Ni 0.623 0.127 0.757  0.34
Ni 0.875 0.375 0.500  0.15


Density functional theory data (GGA-PBE) for a geometry-optimized CeTm3H8 structure.

Results
calculated total energy: -4.513 eV per atom
magnetization: 0.71 Bohr magnetons per cell
density: 7.87 g cm⁻³

Lattice parameters (Å, degrees): 5.171 5.171 5.171 90.00 90.00 90.00
Each line ends with the local moment (μB).
Atoms (fractional coordinates):
H 0.260 0.740 0.740  0.00
Tm 0.500 0.000 0.500  0.00
H 0.740 0.260 0.740  0.00
H 0.740 0.740 0.740  0.00
H 0.740 0.740 0.260  0.00
H 0.260 0.260 0.260  0.00
Tm 0.500 0.500 0.000  0.00
Ce 0.000 0.000 0.000  0.67
H 0.260 0.260 0.740  0.00
H 0.740 0.260 0.260  0.00
Tm 0.000 0.500 0.500  0.00
H 0.260 0.740 0.260  0.00


Density functional theory data (GGA-PBE) for a geometry-optimized LaCl structure.

Results
magnetization: 0.02 Bohr magnetons per cell
formation energy (no corrections): -1415 meV per atom
density: 4.68 g cm⁻³

Lattice parameters (Å, degrees): 3.801 3.801 9.892 90.00 90.00 120.00
Atoms (fractional coordinates):
La 0.333 0.667 0.686
La 0.667 0.333 0.186
Cl 0.333 0.667 0.396
Cl 0.667 0.333 0.896


Density functional theory data (GGA-PBE) for a geometry-optimized NbGa2Pt structure.

Results
energy of formation: -1.1 eV per formula unit
magnetization: 0.00 Bohr magnetons per cell
density: 10.02 g cm⁻³

Lattice parameters (Å, degrees): 4.126 4.126 5.361 67.37 67.37 60.00
Atoms (fractional coordinates):
Nb 0.487 0.487 0.539
Pt 0.679 0.679 0.964
Ga 0.267 0.267 0.199
Ga 0.067 0.067 0.799


Density functional theory data (GGA-PBE) for a geometry-optimized LaPr2Dy2Ho structure.

Results
energy of formation: 0.4 eV per formula unit
magnetization: 0.00 Bohr magnetons per cell
density: 7.47 g cm⁻³

Lattice parameters (Å, degrees): 5.721 9.971 7.099 90.00 90.00 90.00
Atoms (fractional coordinates):
Pr 0.500 0.833 0.253
Dy 0.000 0.666 0.250
Pr 0.000 0.667 0.753
Pr 0.500 0.167 0.747
Dy 0.500 0.166 0.250
Dy 0.000 0.334 0.750
La 0.000 0.000 0.000
Pr 0.000 0.333 0.247
Ho 0.500 0.500 0.000
La 0.500 0.500 0.500
Dy 0.500 0.834 0.750
Ho 0.000 0.000 0.500


Density functional theory data (GGA-PBE) for a geometry-optimized K3HoPu3Te8 structure.

Results
magnetization: 14.00 Bohr magnetons per cell
formation energy (no corrections): -1122 meV per atom
density: 5.82 g cm⁻³

Lattice parameters (Å, degrees): 8.977 8.978 9.799 117.28 90.00 120.00
Each line ends with the local moment (μB).
Atoms (fractional coordinates):
Te 0.235 0.470 0.705  -0.12
K 0.000 0.000 0.000  -0.01
Te 0.765 0.530 0.295  -0.12
Te 0.265 0.030 0.295  -0.12
K 0.000 0.500 0.000  -0.01
Te 0.235 0.970 0.705  -0.12
Pu 0.000 0.500 0.500  5.08
Te 0.736 0.472 0.708  -0.13
K 0.500 0.500 0.000  -0.01
Pu 0.500 0.500 0.500  5.08
Pu 0.500 0.000 0.500  5.09
Te 0.765 0.030 0.295  -0.12
Ho 0.000 0.000 0.500  -0.01
Te 0.264 0.528 0.292  -0.13
Te 0.735 0.970 0.705  -0.12


Density functional theory data (GGA-PBE) for a geometry-optimized ZnCrRuRh2 structure.

Results
energy of formation: 7.8 eV per formula unit
magnetization: 1.47 Bohr magnetons per cell
density: 8.07 g cm⁻³

Lattice parameters (Å, degrees): 4.425 4.460 4.425 90.00 90.00 90.00
Each line ends with the local moment (μB).
Atoms (fractional coordinates):
Cr 0.500 0.500 0.500  -0.08
Ru 0.000 0.500 0.000  -0.60
Rh 0.500 0.000 0.000  -0.36
Rh 0.000 0.000 0.500  -0.45
Zn 0.000 0.000 0.000  0.00


Density functional theory data (GGA-PBE) for a geometry-optimized ZrAg structure.

Results
energy of formation: 0.2 eV per formula unit
magnetization: 0.00 Bohr magnetons per cell
density: 8.10 g cm⁻³

Lattice parameters (Å, degrees): 3.071 4.965 5.355 90.00 90.00 90.00
Atoms (fractional coordinates):
Zr 0.500 0.000 0.495
Ag 0.500 0.500 0.839
Zr 0.000 0.500 0.338
Ag 0.000 0.000 0.995


Density functional theory data (GGA-PBE) for a geometry-optimized Ac3InSe2 structure.

Results
magnetization: 0.00 Bohr magnetons per cell
formation energy (no corrections): -1354 meV per atom
density: 7.67 g cm⁻³

Lattice parameters (Å, degrees): 6.500 9.204 13.803 90.00 90.00 90.00
Atoms (fractional coordinates):
Ac 0.751 0.867 0.087
Ac 0.749 0.376 0.748
Se 0.751 0.627 0.254
Se 0.249 0.873 0.754
Se 0.250 0.879 0.416
Ac 0.250 0.615 0.913
Ac 0.750 0.885 0.413
In 0.251 0.368 0.419
Se 0.750 0.621 0.916
In 0.749 0.632 0.581
Ac 0.250 0.115 0.587
Se 0.750 0.121 0.584
Se 0.250 0.379 0.084
Ac 0.251 0.124 0.248
Se 0.249 0.373 0.746
Ac 0.751 0.367 0.413
Ac 0.749 0.876 0.752
Ac 0.249 0.633 0.587
Ac 0.249 0.133 0.913
Ac 0.750 0.385 0.087
Se 0.751 0.127 0.246
In 0.251 0.868 0.081
In 0.749 0.132 0.919
Ac 0.251 0.624 0.252